Compound: YIn3Hg3
Source: Alexandria via LeMat-Bulk
Functional: GGA-PBE
Structure: optimized geometry

Calculated values
Offset from the most stable computed form (eV/atom): 0.540
Energy relative to the elements (eV/atom): 0.388
Calculated volume (A^3/atom): 34.6
DFT total energy (eV per atom): -1.84

Unit cell a=7.850 b=7.850 c=7.850 alpha=90.00 beta=90.00 gamma=90.00
Space group Pm-3n (No. 223)
Inequivalent atoms, fractional coordinates:
1 Y 0.000 0.000 0.000 [2 per cell]
2 In 0.000 0.250 0.500 [6 per cell]
3 Hg 0.000 0.500 0.250 [6 per cell]

Compound: YIn5Hg4
Source: Alexandria via LeMat-Bulk
Functional: GGA-PBE
Structure: optimized geometry

Calculated values
Energy relative to the elements (eV/atom): -0.129
Calculated volume (A^3/atom): 27.3
DFT total energy (eV per atom): -2.27

Unit cell a=5.059 b=6.964 c=8.792 alpha=112.56 beta=106.07 gamma=90.14
Space group P-1 (No. 2)
Inequivalent atoms, fractional coordinates:
1 Y 0.000 0.000 0.000 [1 per cell]
2 In 0.000 0.500 0.000 [1 per cell]
3 In 0.185 0.435 0.361 [2 per cell]
4 In 0.336 0.857 0.680 [2 per cell]
5 Hg 0.176 0.896 0.342 [2 per cell]
6 Hg 0.493 0.719 0.986 [2 per cell]

Compound: YIn5Hg6
Source: Alexandria via LeMat-Bulk
Functional: GGA-PBE
Structure: optimized geometry

Calculated values
Energy relative to the elements (eV/atom): -0.104
Calculated volume (A^3/atom): 25.6
DFT total energy (eV per atom): -1.93

Unit cell a=4.903 b=8.023 c=8.166 alpha=90.00 beta=107.18 gamma=90.00
Space group P2/m (No. 10)
Inequivalent atoms, fractional coordinates:
1 Y 0.000 0.000 0.000 [1 per cell]
2 In 0.000 0.500 0.000 [1 per cell]
3 In 0.325 0.500 0.649 [2 per cell]
4 In 0.340 0.000 0.673 [2 per cell]
5 Hg 0.163 0.243 0.332 [4 per cell]
6 Hg 0.500 0.259 0.000 [2 per cell]

Compound: Y2InHg
Source: Alexandria via LeMat-Bulk
Functional: GGA-PBE
Structure: optimized geometry

Calculated values
Energy relative to the elements (eV/atom): -0.365
Calculated volume (A^3/atom): 28.5
DFT total energy (eV per atom): -4.36

Unit cell a=3.7427 b=3.7427 c=28.2009 alpha=90.00 beta=90.00 gamma=120.00
Space group R-3m (No. 166, hexagonal axes)
Inequivalent atoms, fractional coordinates:
1 Y 0.0000 0.0000 0.2476 [6 per cell]
2 In 0.0000 0.0000 0.0000 [3 per cell]
3 Hg 0.0000 0.0000 0.5000 [3 per cell]

Number 3 is which compound?
YIn5Hg6

What did the first record say?
Compound: YIn3Hg3
Source: Alexandria via LeMat-Bulk
Functional: GGA-PBE
Structure: optimized geometry

Calculated values
Offset from the most stable computed form (eV/atom): 0.540
Energy relative to the elements (eV/atom): 0.388
Calculated volume (A^3/atom): 34.6
DFT total energy (eV per atom): -1.84

Unit cell a=7.850 b=7.850 c=7.850 alpha=90.00 beta=90.00 gamma=90.00
Space group Pm-3n (No. 223)
Inequivalent atoms, fractional coordinates:
1 Y 0.000 0.000 0.000 [2 per cell]
2 In 0.000 0.250 0.500 [6 per cell]
3 Hg 0.000 0.500 0.250 [6 per cell]

Which formula does entry 4 have?
Y2InHg